No. 1
Compound: Nb2RuWSe
Source: the Alexandria database
Functional: PBEsol
Structure: relaxed

Cell: 4.5002 4.6150 4.6150 Å, 90.00 90.00 90.00°
Element x y z (fractional)
Ru1 0.5000 0.5000 0.5000
Nb1 0.0000 0.0000 0.5000
Nb2 0.0000 0.5000 0.0000
Se1 0.0000 0.0000 0.0000
W1 0.5000 0.0000 0.0000

## Properties
ρ = 9.52 g/cm3
raw formation energy = 1.298 eV per atom
raw total energy = -8.60 eV/atom

---

No. 2
Compound: NbSiRu
Source: the Alexandria database
Functional: PBEsol
Structure: relaxed

Cell: 6.4819 7.3873 7.2028 Å, 60.82 90.00 116.02°
Element x y z (fractional)
Nb1 0.0964 0.6079 0.4460
Nb2 0.4884 0.3921 0.5540
Nb3 0.4976 0.4375 0.0313
Nb4 0.0601 0.5625 0.9687
Nb5 0.9172 0.0039 0.2481
Nb6 0.9133 0.9961 0.7519
Si1 0.5314 0.0591 0.2204
Si2 0.4723 0.9409 0.7796
Si3 0.8288 0.6660 0.6636
Si4 0.1628 0.3340 0.3364
Si5 0.8288 0.6660 0.1704
Si6 0.1628 0.3340 0.8296
Ru1 0.2511 0.0000 0.5000
Ru2 0.2511 0.0000 0.0000
Ru3 0.7438 0.2475 0.8426
Ru4 0.4963 0.7525 0.1574
Ru5 0.7438 0.2475 0.4099
Ru6 0.4963 0.7525 0.5901

## Properties
ρ = 8.50 g/cm3
raw formation energy = -0.695 eV per atom
raw total energy = -9.61 eV/atom

---

No. 3
Compound: Nb2Si2Ru
Source: the Alexandria database
Functional: PBEsol
Structure: relaxed

Cell: 4.0569 6.0735 6.0735 Å, 90.00 90.00 90.00°
Element x y z (fractional)
Ru1 0.0000 0.0000 0.0000
Ru2 0.0000 0.5000 0.5000
Nb1 0.5000 0.1604 0.6604
Nb2 0.5000 0.6604 0.8396
Nb3 0.5000 0.8396 0.3396
Nb4 0.5000 0.3396 0.1604
Si1 0.0000 0.3607 0.8607
Si2 0.0000 0.8607 0.6393
Si3 0.0000 0.6393 0.1393
Si4 0.0000 0.1393 0.3607

## Properties
ρ = 7.61 g/cm3
raw formation energy = -0.661 eV per atom
raw total energy = -9.32 eV/atom

---

No. 4
Compound: NbZnSi2Ru
Source: the Alexandria database
Functional: PBEsol
Structure: relaxed

Cell: 4.4238 4.4238 5.0080 Å, 90.00 90.00 90.00°
Element x y z (fractional)
Ru1 0.0000 0.0000 0.0000
Nb1 0.0000 0.0000 0.5000
Si1 0.0000 0.5000 0.0000
Si2 0.5000 0.0000 0.0000
Zn1 0.5000 0.5000 0.5000

## Properties
ρ = 5.35 g/cm3
raw formation energy = 0.641 eV per atom
raw total energy = -6.17 eV/atom

---

No. 5
Compound: SrNb2Ru2
Source: the Alexandria database
Functional: PBEsol
Structure: relaxed

Cell: 4.3666 4.3666 6.2259 Å, 110.53 110.53 90.00°
Element x y z (fractional)
Ru1 0.3774 0.3774 0.7548
Ru2 0.6226 0.6226 0.2452
Nb1 0.2500 0.7500 0.5000
Nb2 0.7500 0.2500 0.5000
Sr1 0.0000 0.0000 0.0000

## Properties
ρ = 7.66 g/cm3
DFT formation energy = 56 meV per atom
raw total energy = -8.71 eV/atom

---

No. 6
Compound: Ta2NbRu
Source: the Alexandria database
Functional: PBEsol
Structure: relaxed

Cell: 4.5157 4.5157 4.5157 Å, 60.00 60.00 60.00°
Element x y z (fractional)
Ru1 0.0000 0.0000 0.0000
Nb1 0.5000 0.5000 0.5000
Ta1 0.2500 0.2500 0.2500
Ta2 0.7500 0.7500 0.7500

## Properties
ρ = 14.18 g/cm3
DFT formation energy = -259 meV per atom
raw total energy = -11.78 eV/atom

---

No. 7
Compound: TaNb3Ru
Source: the Alexandria database
Functional: PBEsol
Structure: relaxed

Cell: 4.7437 4.7437 4.7437 Å, 90.00 90.00 90.00°
Element x y z (fractional)
Ru1 0.5000 0.5000 0.5000
Nb1 0.0000 0.5000 0.0000
Nb2 0.0000 0.0000 0.5000
Nb3 0.5000 0.0000 0.0000
Ta1 0.0000 0.0000 0.0000

## Properties
ρ = 8.72 g/cm3
DFT formation energy = 1925 meV per atom
raw total energy = -9.11 eV/atom

---

No. 8
Compound: TaNb2TcRu
Source: the Alexandria database
Functional: PBEsol
Structure: relaxed

Cell: 4.5043 4.7715 4.7715 Å, 90.00 90.00 90.00°
Site moments in Bohr magnetons follow the coordinates.
Element x y z (fractional)
Ru1 0.5000 0.0000 0.0000  -0.01
Nb1 0.0000 0.0000 0.5000  -0.20
Nb2 0.0000 0.5000 0.0000  -0.20
Tc1 0.5000 0.5000 0.5000  1.45
Ta1 0.0000 0.0000 0.0000  0.01

## Properties
ρ = 9.16 g/cm3
DFT formation energy = 1895 meV per atom
raw total energy = -9.23 eV/atom

---

No. 9
Compound: TbNbRu2
Source: the Alexandria database
Functional: PBEsol
Structure: relaxed

Cell: 4.5792 4.5792 4.5792 Å, 60.00 60.00 60.00°
Element x y z (fractional)
Ru1 0.7500 0.7500 0.7500
Ru2 0.2500 0.2500 0.2500
Nb1 0.0000 0.0000 0.0000
Tb1 0.5000 0.5000 0.5000

## Properties
ρ = 11.10 g/cm3
DFT formation energy = -221 meV per atom
raw total energy = -9.27 eV/atom

---

No. 10
Compound: TiNbRu2
Source: the Alexandria database
Functional: PBEsol
Structure: relaxed

Cell: 4.3815 4.3815 4.3815 Å, 60.00 60.00 60.00°
Element x y z (fractional)
Ru1 0.2500 0.2500 0.2500
Ru2 0.7500 0.7500 0.7500
Nb1 0.5000 0.5000 0.5000
Ti1 0.0000 0.0000 0.0000

## Properties
ρ = 9.57 g/cm3
DFT formation energy = -428 meV per atom
raw total energy = -10.30 eV/atom

---

No. 11
Compound: TmNbRu2
Source: the Alexandria database
Functional: PBEsol
Structure: relaxed

Cell: 4.5419 4.5419 4.5419 Å, 60.00 60.00 60.00°
Element x y z (fractional)
Ru1 0.2500 0.2500 0.2500
Ru2 0.7500 0.7500 0.7500
Nb1 0.5000 0.5000 0.5000
Tm1 0.0000 0.0000 0.0000

## Properties
ρ = 11.63 g/cm3
DFT formation energy = -349 meV per atom
raw total energy = -9.36 eV/atom

---

No. 12
Compound: Nb2RuW
Source: the Alexandria database
Functional: PBEsol
Structure: relaxed

Cell: 4.4941 4.4941 4.4941 Å, 60.00 60.00 60.00°
Element x y z (fractional)
Ru1 0.5000 0.5000 0.5000
Nb1 0.2500 0.2500 0.2500
Nb2 0.7500 0.7500 0.7500
W1 0.0000 0.0000 0.0000

## Properties
ρ = 12.18 g/cm3
DFT formation energy = -129 meV per atom
raw total energy = -11.53 eV/atom

---

Question: Among the records above, which one has the highest raw total energy?
Answer: NbZnSi2Ru